GeRuO2, relaxed, DFT GGA-PBE; E_form (uncorrected) = -0.598 eV/atom; SG = R-3m (166); size of the total moment = 1.00 μB/f.u.; E_tot = -26.20 eV for the cell shown
1.0
1.717 0.000 6.704
-0.858 1.487 6.704
-0.858 -1.487 6.704
O Ru Ge
2 1 1
Direct
0.892 0.892 0.892
0.108 0.108 0.108
0.500 0.500 0.500
0.000 0.000 0.000